! Pr2NdSm2Y6 (PBE, relaxed); values from VASP
&SYSTEM
  ibrav = 0, nat = 11, ntyp = 4
/
ATOMIC_SPECIES
Y 88.91 Y.upf
Nd 144.24 Nd.upf
Sm 150.36 Sm.upf
Pr 140.91 Pr.upf
CELL_PARAMETERS angstrom
6.6842 -0.6101 -0.5005
-3.8341 5.5091 -0.5005
-1.9109 -3.2846 11.5468
ATOMIC_POSITIONS angstrom
Y 0.6637 1.1408 7.4515
Y 0.0201 3.7134 1.6780
Y -2.2790 -0.2386 8.8679
Y 3.2182 1.8529 1.6780
Y 0.2755 0.4735 3.0944
Y 0.9191 -2.0991 8.8679
Nd -0.9554 -1.6423 5.7734
Sm -1.7045 2.0720 5.2729
Sm 2.6436 -0.4576 5.2729
Pr 5.2833 0.2048 -0.5005
Pr -2.4333 4.6941 -0.5005
! DOS at the Fermi energy: 18.2 states/eV per cell
! Crystal system: orthorhombic
! Energy of formation: 14.07 kJ/mol of atoms
! E: -60.94 eV/f.u.
! M_tot: 0.00 Bohr magnetons per cell
! Density: 5.58 g/cm3